## CrSbNO2 (PBE+U)

Data for a relaxed CrSbNO2 crystal.

The structure in CIF format:
```
data_CrSbNO2
_chemical_formula_sum 'Cr1 Sb1 N1 O2'
_symmetry_space_group_name_H-M 'P 4/m m m'
_symmetry_Int_Tables_number 123
_symmetry_space_group_name_Hall '-P 4 2'
_cell_length_a 3.830
_cell_length_b 3.830
_cell_length_c 3.903
_cell_angle_alpha 90.00
_cell_angle_beta 90.00
_cell_angle_gamma 90.00
loop_
_atom_site_label
_atom_site_type_symbol
_atom_site_fract_x
_atom_site_fract_y
_atom_site_fract_z
Cr1 Cr 0.000 0.000 0.000
Sb1 Sb 0.500 0.500 0.500
N1 N 0.000 0.000 0.500
O1 O 0.000 0.500 0.000
```

Summary:
Total magnetization (μB/atom): 0.0727
Total energy (eV/f.u.): -31.2